No. 1
# GGA-PBE CdIn3Bi, relaxed
data_CdIn3Bi
_symmetry_space_group_name_H-M 'C 1 2/m 1'
_symmetry_Int_Tables_number 12
_symmetry_space_group_name_Hall '-C 2y'
_cell_length_a 10.102
_cell_length_b 5.382
_cell_length_c 10.235
_cell_angle_alpha 90.00
_cell_angle_beta 92.29
_cell_angle_gamma 90.00
loop_
_atom_site_label
_atom_site_fract_x
_atom_site_fract_y
_atom_site_fract_z
_atom_site_occupancy
Cd1 0.135 0.000 0.448 1
In1 0.027 0.000 0.159 1
In2 0.078 0.500 0.640 1
In3 0.224 0.500 0.273 1
Bi1 0.160 0.500 0.951 1
# ρ: 7.95 g/cm3
# ΔH_f (0 K): 0.040 eV per atom
# offset from the most stable computed form: 4 meV per atom
# Fermi-level density of states: 7.77 states/eV per cell
# crystal system: monoclinic
# magnetic moment: 0.00 μB/cell

***

No. 2
# GGA-PBE CsBa2Li2As2, relaxed
data_CsBa2Li2As2
_symmetry_space_group_name_H-M 'R -3 m'
_symmetry_Int_Tables_number 166
_symmetry_space_group_name_Hall '-R 3 2"'
_cell_length_a 4.6613
_cell_length_b 4.6613
_cell_length_c 42.4709
_cell_angle_alpha 90.00
_cell_angle_beta 90.00
_cell_angle_gamma 120.00
loop_
_atom_site_label
_atom_site_fract_x
_atom_site_fract_y
_atom_site_fract_z
_atom_site_occupancy
Cs1 0.0000 0.0000 0.0000 1
Ba1 0.0000 0.0000 0.1119 1
Li1 0.0000 0.0000 0.3942 1
As1 0.0000 0.0000 0.2646 1
# ρ: 3.56 g/cm3
# ΔH_f (0 K): -0.696 eV per atom
# Fermi-level density of states: 6.10 states/eV per cell
# crystal system: trigonal
# magnetic moment: 0.00 μB/cell

***

No. 3
# GGA-PBE Ho3Ge3Rh2, relaxed
data_Ho3Ge3Rh2
_symmetry_space_group_name_H-M 'P n m a'
_symmetry_Int_Tables_number 62
_symmetry_space_group_name_Hall '-P 2ac 2n'
_cell_length_a 8.101
_cell_length_b 14.177
_cell_length_c 5.640
_cell_angle_alpha 90.00
_cell_angle_beta 90.00
_cell_angle_gamma 90.00
loop_
_atom_site_label
_atom_site_fract_x
_atom_site_fract_y
_atom_site_fract_z
_atom_site_occupancy
Ho1 0.041 0.113 0.122 1
Ho2 0.189 0.250 0.634 1
Ge1 0.168 0.750 0.614 1
Ge2 0.203 0.037 0.624 1
Rh1 0.077 0.599 0.383 1
# ρ: 9.42 g/cm3
# ΔH_f (0 K): -0.915 eV per atom
# offset from the most stable computed form: 45 meV per atom
# Fermi-level density of states: 20.27 states/eV per cell
# crystal system: orthorhombic
# magnetic moment: 0.00 μB/cell

***

No. 4
# GGA-PBE PtRh2W, relaxed
data_PtRh2W
_symmetry_space_group_name_H-M 'P 4 m m'
_symmetry_Int_Tables_number 99
_symmetry_space_group_name_Hall 'P 4 -2'
_cell_length_a 2.764
_cell_length_b 2.764
_cell_length_c 7.862
_cell_angle_alpha 90.00
_cell_angle_beta 90.00
_cell_angle_gamma 90.00
loop_
_atom_site_label
_atom_site_fract_x
_atom_site_fract_y
_atom_site_fract_z
_atom_site_occupancy
Pt1 0.000 0.000 0.000 1
Rh1 0.000 0.000 0.511 1
Rh2 0.500 0.500 0.259 1
W1 0.500 0.500 0.748 1
# ρ: 16.17 g/cm3
# ΔH_f (0 K): -0.116 eV per atom
# offset from the most stable computed form: 128 meV per atom
# Fermi-level density of states: 6.17 states/eV per cell
# crystal system: tetragonal
# magnetic moment: 0.39 μB/cell

***

No. 5
# GGA-PBE PmZnRhAu, relaxed
data_PmZnRhAu
_symmetry_space_group_name_H-M 'C 1 m 1'
_symmetry_Int_Tables_number 8
_symmetry_space_group_name_Hall 'C -2y'
_cell_length_a 7.658
_cell_length_b 4.436
_cell_length_c 5.449
_cell_angle_alpha 90.00
_cell_angle_beta 118.04
_cell_angle_gamma 90.00
loop_
_atom_site_label
_atom_site_fract_x
_atom_site_fract_y
_atom_site_fract_z
_atom_site_occupancy
Pm1 0.000 0.000 0.000 1
Zn1 0.480 0.000 0.439 1
Rh1 0.288 0.500 0.361 1
Au1 0.213 0.000 0.638 1
# ρ: 10.37 g/cm3
# ΔH_f (0 K): -0.587 eV per atom
# offset from the most stable computed form: 0 meV per atom
# Fermi-level density of states: 3.99 states/eV per cell
# crystal system: monoclinic
# magnetic moment: 0.00 μB/cell

***

No. 6
# GGA-PBE ThCr2GeC, relaxed
data_ThCr2GeC
_symmetry_space_group_name_H-M 'C m c m'
_symmetry_Int_Tables_number 63
_symmetry_space_group_name_Hall '-C 2c 2'
_cell_length_a 5.407
_cell_length_b 11.090
_cell_length_c 5.432
_cell_angle_alpha 90.00
_cell_angle_beta 90.00
_cell_angle_gamma 90.00
loop_
_atom_site_label
_atom_site_fract_x
_atom_site_fract_y
_atom_site_fract_z
_atom_site_occupancy
Th1 0.000 0.248 0.250 1
Cr1 0.226 0.500 0.000 1
Ge1 0.000 0.130 0.750 1
C1 0.000 0.440 0.750 1
# ρ: 8.58 g/cm3
# ΔH_f (0 K): -0.114 eV per atom
# Fermi-level density of states: 21.65 states/eV per cell
# crystal system: orthorhombic
# magnetic moment: 1.79 μB/cell

***

Which of these has the highest Fermi-level density of states? ThCr2GeC